No. 1
Al2Ag2Hg after structural relaxation, computed with PBE.

Calculated values
Its formation energy is 0.1367 eV per atom. The energy relative to the lowest polymorph listed for this composition is 98 meV per atom. For the density of states at the Fermi level, the calculation gives 0.351 states/eV/atom.

The structure in POSCAR format:
```
Al2Ag2Hg
1.0
-1.9606 1.9606 6.5140
1.9606 -1.9606 6.5140
1.9606 1.9606 -6.5140
Al Ag Hg
2 2 1
direct
0.1003 0.1003 0.0000
0.8997 0.8997 0.0000
0.2500 0.7500 0.5000
0.7500 0.2500 0.5000
0.5000 0.5000 0.0000
```

***

No. 2
AlAg2Hg after structural relaxation, computed with PBE.

Calculated values
Its formation energy is 0.0827 eV per atom. The energy relative to the lowest polymorph listed for this composition is 60 meV per atom. For the density of states at the Fermi level, the calculation gives 0.284 states/eV/atom.

The structure in POSCAR format:
```
AlAg2Hg
1.0
3.0112 -4.2481 0.0000
3.0112 4.2481 0.0000
-0.0670 0.0000 2.9279
Al Ag Hg
1 2 1
direct
0.0000 0.0000 0.0000
0.0000 0.5000 0.5000
0.5000 0.0000 0.5000
0.5000 0.5000 0.0000
```

***

No. 3
AlAg14Hg after structural relaxation, computed with PBE.

Calculated values
Its formation energy is 0.0312 eV per atom. For the density of states at the Fermi level, the calculation gives 0.350 states/eV/atom.

The structure in POSCAR format:
```
AlAg14Hg
1.0
9.5462 0.0000 0.0000
0.0000 3.0875 4.9129
0.0000 -3.0875 4.9129
Al Ag Hg
1 14 1
direct
0.0000 0.0000 0.0000
0.0000 0.0057 0.4979
0.0000 0.4979 0.0057
0.2473 0.8210 0.8210
0.2494 0.3137 0.8298
0.2494 0.8298 0.3137
0.2555 0.3242 0.3242
0.5000 0.1404 0.6498
0.5000 0.1462 0.1462
0.5000 0.6431 0.6431
0.5000 0.6498 0.1404
0.7445 0.3242 0.3242
0.7506 0.3137 0.8298
0.7506 0.8298 0.3137
0.7527 0.8210 0.8210
0.0000 0.5031 0.5031
```

***

No. 4
AlAg2Hg after structural relaxation, computed with PBE.

Calculated values
Its formation energy is 0.0413 eV per atom. The energy relative to the lowest polymorph listed for this composition is 18 meV per atom. For the density of states at the Fermi level, the calculation gives 0.219 states/eV/atom.

The structure in POSCAR format:
```
AlAg2Hg
1.0
4.8413 -1.5527 0.0000
4.8413 1.5527 0.0000
-1.3070 0.0000 4.9805
Al Ag Hg
1 2 1
direct
0.0000 0.0000 0.0000
0.2652 0.2652 0.7686
0.7348 0.7348 0.2314
0.5000 0.5000 0.5000
```

***

No. 5
AlAgHg2 after structural relaxation, computed with PBE.

Calculated values
Its formation energy is 0.1361 eV per atom. For the density of states at the Fermi level, the calculation gives 0.274 states/eV/atom.

The structure in POSCAR format:
```
AlAgHg2
1.0
4.7848 -1.6377 0.0000
4.7848 1.6377 0.0000
-0.8071 0.0000 5.2778
Al Ag Hg
1 1 2
direct
0.0000 0.0000 0.0000
0.5000 0.5000 0.5000
0.2491 0.2491 0.7499
0.7509 0.7509 0.2501
```

***

No. 6
AlAg2Hg after structural relaxation, computed with PBE.

Calculated values
Its formation energy is 0.0650 eV per atom. The energy relative to the lowest polymorph listed for this composition is 42 meV per atom. For the density of states at the Fermi level, the calculation gives 0.189 states/eV/atom.

The structure in POSCAR format:
```
AlAg2Hg
1.0
2.9950 0.0000 0.0000
0.0000 4.4222 0.0000
-1.4193 0.0000 5.6784
Al Ag Hg
1 2 1
direct
0.0000 0.0000 0.0000
0.4077 0.5000 0.8081
0.7635 0.0000 0.5254
0.1493 0.5000 0.2908
```

***

No. 7
Al2AgHg after structural relaxation, computed with PBE.

Calculated values
Its formation energy is 0.1286 eV per atom. For the density of states at the Fermi level, the calculation gives 0.318 states/eV/atom.

The structure in POSCAR format:
```
Al2AgHg
1.0
-2.0904 2.0904 4.2767
2.0904 -2.0904 4.2767
2.0904 2.0904 -4.2767
Al Ag Hg
2 1 1
direct
0.0000 0.0000 0.0000
0.7500 0.2500 0.5000
0.5000 0.5000 0.0000
0.2500 0.7500 0.5000
```

***

No. 8
Al2AgHg after structural relaxation, computed with PBE.

Calculated values
Its formation energy is 0.0665 eV per atom. For the density of states at the Fermi level, the calculation gives 0.223 states/eV/atom.

The structure in POSCAR format:
```
Al2AgHg
1.0
4.5112 -1.4981 0.0000
4.5112 1.4981 0.0000
-1.4673 0.0000 5.5923
Al Ag Hg
2 1 1
direct
0.2479 0.2479 0.2237
0.7521 0.7521 0.7763
0.5000 0.5000 0.0000
0.0000 0.0000 0.5000
```